1.
The following is a DFT calculation (PBE-GGA) of crystalline LiCdCu at its relaxed geometry.

Values from the calculation:
Polymorph energy (0 for the lowest one) = 23 meV/atom
Total magnetization = 0.0 Bohr magnetons per cell
Formation energy from the elements = -0.0924 eV per atom
V = 191.1 Å³/cell

Cell: 4.5796 5.0383 8.2809 Å, 90.00 90.00 90.00°
Closest atoms and distances in Å follow each position.
Fractional coordinates of all 12 atoms:
Li (0.2500, 0.8336, 0.0657)  5 Cd 2.70-2.93, 5 Cu 2.73-2.98, 2 Li 2.84
Li (0.7500, 0.1664, 0.0657)  5 Cd 2.70-2.93, 5 Cu 2.73-2.98, 2 Li 2.84
Li (0.2500, 0.3336, 0.5657)  5 Cd 2.70-2.93, 5 Cu 2.73-2.98, 2 Li 2.84
Li (0.7500, 0.6664, 0.5657)  5 Cd 2.70-2.93, 5 Cu 2.73-2.98, 2 Li 2.84
Cd (0.2500, 0.8271, 0.3918)  5 Li 2.70-2.93, 5 Cu 2.71-3.02, 2 Cd 2.88
Cd (0.7500, 0.1729, 0.3918)  5 Li 2.70-2.93, 5 Cu 2.71-3.02, 2 Cd 2.88
Cd (0.2500, 0.3271, 0.8918)  5 Li 2.70-2.93, 5 Cu 2.71-3.02, 2 Cd 2.88
Cd (0.7500, 0.6729, 0.8918)  5 Li 2.70-2.93, 5 Cu 2.71-3.02, 2 Cd 2.88
Cu (0.2500, 0.3623, 0.2273)  2 Cu 2.68, 4 Cd 2.71-2.83, 5 Li 2.73-2.98
Cu (0.7500, 0.6377, 0.2273)  2 Cu 2.68, 4 Cd 2.71-2.83, 5 Li 2.73-2.98
Cu (0.2500, 0.8623, 0.7273)  2 Cu 2.68, 4 Cd 2.71-2.83, 5 Li 2.73-2.98
Cu (0.7500, 0.1377, 0.7273)  2 Cu 2.68, 4 Cd 2.71-2.83, 5 Li 2.73-2.98

2.
The following is a DFT calculation (PBE-GGA) of crystalline LiCdCu2 at its relaxed geometry.

Values from the calculation:
Total magnetization = 0.0 Bohr magnetons per cell
Formation energy from the elements = -0.0412 eV per atom
V = 58.1 Å³/cell

Cell: 4.8123 4.8123 4.8123 Å, 133.66 132.85 68.26°
Closest atoms and distances in Å follow each position.
Fractional coordinates of all 4 atoms:
Li (0.7500, 0.2500, 0.5000)  4 Cd 2.70, 8 Cu 2.74-2.77
Cu (0.9993, 0.9993, 0.0000)  4 Cu 2.70, 4 Li 2.74-2.77, 4 Cd 2.75-2.77
Cu (0.5007, 0.5007, 0.0000)  4 Cu 2.70, 4 Li 2.74-2.77, 4 Cd 2.75-2.77
Cd (0.2500, 0.7500, 0.5000)  4 Li 2.70, 8 Cu 2.75-2.77

3.
The following is a DFT calculation (PBE-GGA) of crystalline LiCd2Cu at its relaxed geometry.

Values from the calculation:
Total magnetization = 0.0 Bohr magnetons per cell
Formation energy from the elements = -0.0937 eV per atom
V = 69.0 Å³/cell

Cell: 5.1607 5.1607 5.1607 Å, 134.40 134.40 66.46°
Closest atoms and distances in Å follow each position.
Fractional coordinates of all 4 atoms:
Li (0.7500, 0.2500, 0.5000)  8 Cd 2.83-2.94, 4 Cu 2.94
Cu (0.5000, 0.5000, 0.0000)  8 Cd 2.83-2.94, 4 Li 2.94
Cd (0.0000, 0.0000, 0.0000)  4 Cu 2.83, 4 Cd 2.94, 4 Li 2.94
Cd (0.2500, 0.7500, 0.5000)  4 Li 2.83, 4 Cd 2.94, 4 Cu 2.94

4.
The following is a DFT calculation (PBE-GGA) of crystalline Li15Cd2Cu2 at its relaxed geometry.

Values from the calculation:
Total magnetization = 0.0 Bohr magnetons per cell
Formation energy from the elements = 0.0207 eV per atom
V = 323.2 Å³/cell

Cell: 7.1272 7.1272 7.1272 Å, 73.16 73.16 73.16°
Closest atoms and distances in Å follow each position.
Fractional coordinates of all 19 atoms:
Li (0.0000, 0.5000, 0.0000)  2 Cu 2.75, 8 Li 2.87-2.97, 2 Cd 3.00
Li (0.0000, 0.0000, 0.5000)  2 Cu 2.75, 8 Li 2.87-2.97, 2 Cd 3.00
Li (0.5000, 0.0000, 0.0000)  2 Cu 2.75, 8 Li 2.87-2.97, 2 Cd 3.00
Li (0.2809, 0.0000, 0.7191)  4 Li 2.39-2.54
Li (0.7191, 0.2809, 0.0000)  4 Li 2.39-2.54
Li (0.0000, 0.7191, 0.2809)  4 Li 2.39-2.54
Li (0.2809, 0.7191, 0.0000)  4 Li 2.39-2.54
Li (0.0000, 0.2809, 0.7191)  4 Li 2.39-2.54
Li (0.7191, 0.0000, 0.2809)  4 Li 2.39-2.54
Li (0.4373, 0.8123, 0.4373)  4 Li 2.54-2.67
Li (0.4373, 0.4373, 0.8123)  4 Li 2.54-2.67
Li (0.8123, 0.4373, 0.4373)  4 Li 2.54-2.67
Li (0.5627, 0.1877, 0.5627)  4 Li 2.54-2.67
Li (0.5627, 0.5627, 0.1877)  4 Li 2.54-2.67
Li (0.1877, 0.5627, 0.5627)  4 Li 2.54-2.67
Cd (0.7218, 0.7218, 0.7218)  1 Cu 2.97, 15 Li 3.00-3.19
Cd (0.2782, 0.2782, 0.2782)  1 Cu 2.97, 15 Li 3.00-3.19
Cu (0.9134, 0.9134, 0.9134)  1 Cu 2.69, 9 Li 2.74-2.75, 1 Cd 2.97
Cu (0.0866, 0.0866, 0.0866)  1 Cu 2.69, 9 Li 2.74-2.75, 1 Cd 2.97

5.
The following is a DFT calculation (PBE-GGA) of crystalline Li2CdCu at its relaxed geometry.

Values from the calculation:
Total magnetization = 0.0 Bohr magnetons per cell
Formation energy from the elements = -0.1066 eV per atom
V = 63.1 Å³/cell

Cell: 4.0093 4.0031 3.9288 Å, 90.00 90.00 90.00°
Closest atoms and distances in Å follow each position.
Fractional coordinates of all 4 atoms:
Li (0.0000, 0.0000, 0.0000)  4 Cu 2.80, 4 Cd 2.81, 4 Li 2.83
Li (0.5000, 0.5000, 0.0000)  4 Cd 2.80, 4 Cu 2.81, 4 Li 2.83
Cu (0.0000, 0.5000, 0.5000)  8 Li 2.80-2.81, 4 Cd 2.83
Cd (0.5000, 0.0000, 0.5000)  8 Li 2.80-2.81, 4 Cu 2.83

6.
The following is a DFT calculation (PBE-GGA) of crystalline LiCdCu2 at its relaxed geometry.

Values from the calculation:
Total magnetization = 0.0 Bohr magnetons per cell
Formation energy from the elements = 0.0289 eV per atom
V = 58.4 Å³/cell

Cell: 3.1126 3.1126 6.0257 Å, 90.00 90.00 89.99°
Closest atoms and distances in Å follow each position.
Fractional coordinates of all 4 atoms:
Cd (0.5000, 0.5000, 0.7500)  8 Cu 2.79, 2 Li 3.01, 4 Cd 3.11
Cu (0.0000, 0.0000, 0.0339)  4 Li 2.56, 1 Cu 2.60, 4 Cd 2.79
Cu (0.0000, 0.0000, 0.4661)  4 Li 2.56, 1 Cu 2.60, 4 Cd 2.79
Li (0.5000, 0.5000, 0.2500)  8 Cu 2.56

7.
The following is a DFT calculation (PBE-GGA) of crystalline Li2CdCu at its relaxed geometry.

Values from the calculation:
Total magnetization = 0.0 Bohr magnetons per cell
Formation energy from the elements = 0.0148 eV per atom
V = 68.7 Å³/cell

Cell: 9.4515 9.4515 9.4515 Å, 17.77 17.77 17.77°
Closest atoms and distances in Å follow each position.
Fractional coordinates of all 4 atoms:
Cd (0.4957, 0.4957, 0.4957)  3 Cu 2.86, 6 Cd 2.92, 3 Li 2.98
Cu (0.7464, 0.7464, 0.7464)  3 Li 2.62, 3 Cd 2.86, 6 Cu 2.92
Li (0.0077, 0.0077, 0.0077)  3 Cu 2.62, 6 Li 2.92
Li (0.2502, 0.2502, 0.2502)  9 Li 2.92-3.04, 3 Cd 2.98

8.
The following is a DFT calculation (PBE-GGA) of crystalline Li8Cd6Cu at its relaxed geometry.

Values from the calculation:
Total magnetization = 0.0 Bohr magnetons per cell
Formation energy from the elements = -0.1377 eV per atom
V = 278.5 Å³/cell

Cell: 7.3400 7.3400 7.3200 Å, 59.91 59.91 60.00°
Closest atoms and distances in Å follow each position.
Fractional coordinates of all 15 atoms:
Li (0.6722, 0.1263, 0.3887)  3 Cd 2.77-2.87, 5 Li 2.78-2.97, 1 Cu 2.88
Li (0.8737, 0.1872, 0.6113)  3 Cd 2.77-2.87, 5 Li 2.78-2.97, 1 Cu 2.88
Li (0.1872, 0.3278, 0.6113)  3 Cd 2.77-2.87, 5 Li 2.78-2.97, 1 Cu 2.88
Li (0.5826, 0.5826, 0.2521)  4 Li 2.78-2.96, 6 Cd 2.95-3.03
Li (0.4174, 0.4174, 0.7479)  4 Li 2.78-2.96, 6 Cd 2.95-3.03
Li (0.8128, 0.6722, 0.3887)  3 Cd 2.77-2.87, 5 Li 2.78-2.97, 1 Cu 2.88
Li (0.1263, 0.8128, 0.3887)  3 Cd 2.77-2.87, 5 Li 2.78-2.97, 1 Cu 2.88
Li (0.3278, 0.8737, 0.6113)  3 Cd 2.77-2.87, 5 Li 2.78-2.97, 1 Cu 2.88
Cd (0.4571, 0.9442, 0.8602)  5 Li 2.77-3.03, 1 Cu 2.84, 1 Cd 2.96
Cd (0.0558, 0.2616, 0.1398)  5 Li 2.77-3.03, 1 Cu 2.84, 1 Cd 2.96
Cd (0.2616, 0.5429, 0.1398)  5 Li 2.77-3.03, 1 Cu 2.84, 1 Cd 2.96
Cd (0.7384, 0.4571, 0.8602)  5 Li 2.77-3.03, 1 Cu 2.84, 1 Cd 2.96
Cd (0.9442, 0.7384, 0.8602)  5 Li 2.77-3.03, 1 Cu 2.84, 1 Cd 2.96
Cd (0.5429, 0.0558, 0.1398)  5 Li 2.77-3.03, 1 Cu 2.84, 1 Cd 2.96
Cu (0.0000, 0.0000, 0.0000)  6 Cd 2.84, 6 Li 2.88

9.
The following is a DFT calculation (PBE-GGA) of crystalline LiCd4Cu at its relaxed geometry.

Values from the calculation:
Polymorph energy (0 for the lowest one) = 0 meV/atom
Total magnetization = 0.0 Bohr magnetons per cell
Formation energy from the elements = -0.0619 eV per atom
V = 241.7 Å³/cell

Cell: 5.1663 7.1711 7.8687 Å, 117.11 108.91 90.00°
Closest atoms and distances in Å follow each position.
Fractional coordinates of all 12 atoms:
Li (0.1943, 0.1963, 0.3927)  10 Cd 2.90-3.20
Li (0.8057, 0.8037, 0.6073)  10 Cd 2.90-3.20
Cd (0.8132, 0.3155, 0.6310)  2 Cu 2.76-2.78, 2 Cd 2.95, 2 Li 3.01-3.02
Cd (0.6289, 0.3621, 0.2585)  2 Cu 2.82-2.83, 3 Cd 2.95-3.11, 1 Li 2.97
Cd (0.0000, 0.1886, 0.0000)  2 Cu 2.62, 1 Cd 2.70, 2 Li 2.90
Cd (0.3711, 0.1036, 0.7415)  2 Cu 2.82-2.83, 3 Cd 2.95-3.11, 1 Li 2.97
Cd (0.1868, 0.6845, 0.3690)  2 Cu 2.76-2.78, 2 Cd 2.95, 2 Li 3.01-3.02
Cd (0.3711, 0.6379, 0.7415)  2 Cu 2.82-2.83, 3 Cd 2.95-3.11, 1 Li 2.97
Cd (0.0000, 0.8114, 0.0000)  2 Cu 2.62, 1 Cd 2.70, 2 Li 2.90
Cd (0.6289, 0.8964, 0.2585)  2 Cu 2.82-2.83, 3 Cd 2.95-3.11, 1 Li 2.97
Cu (0.7346, 0.5003, 0.0005)  1 Cu 2.42, 2 Cd 2.62
Cu (0.2654, 0.4997, 0.9995)  1 Cu 2.42, 2 Cd 2.62

10.
The following is a DFT calculation (PBE-GGA) of crystalline LiCdCu at its relaxed geometry.

Values from the calculation:
Polymorph energy (0 for the lowest one) = 7 meV/atom
Total magnetization = 0.0 Bohr magnetons per cell
Formation energy from the elements = -0.1081 eV per atom
V = 95.1 Å³/cell

Cell: 3.8363 4.0695 6.3855 Å, 90.00 107.51 90.00°
Closest atoms and distances in Å follow each position.
Fractional coordinates of all 6 atoms:
Li (0.9012, 0.2500, 0.3020)  4 Cu 2.66-2.74, 4 Cd 2.80
Li (0.0988, 0.7500, 0.6980)  4 Cu 2.66-2.74, 4 Cd 2.80
Cd (0.5914, 0.2500, 0.6835)  4 Cu 2.72-2.80, 6 Li 2.80-3.01, 2 Cd 3.02
Cd (0.4086, 0.7500, 0.3165)  4 Cu 2.72-2.80, 6 Li 2.80-3.01, 2 Cd 3.02
Cu (0.2502, 0.2500, 0.0003)  4 Li 2.66-2.74, 4 Cd 2.72-2.80, 4 Cu 2.80
Cu (0.7498, 0.7500, 0.9997)  4 Li 2.66-2.74, 4 Cd 2.72-2.80, 4 Cu 2.80

11.
The following is a DFT calculation (PBE-GGA) of crystalline LiCd2Cu at its relaxed geometry.

Values from the calculation:
Total magnetization = 0.0 Bohr magnetons per cell
Formation energy from the elements = -0.0197 eV per atom
V = 71.5 Å³/cell

Cell: 9.6195 9.6195 9.6195 Å, 17.66 17.66 17.66°
Closest atoms and distances in Å follow each position.
Fractional coordinates of all 4 atoms:
Cd (0.9971, 0.9971, 0.9971)  3 Cu 2.85, 6 Cd 2.95, 3 Li 2.98
Cd (0.5029, 0.5029, 0.5029)  3 Cu 2.85, 6 Cd 2.95, 3 Li 2.98
Cu (0.2500, 0.2500, 0.2500)  6 Cd 2.85, 6 Cu 2.95
Li (0.7500, 0.7500, 0.7500)  6 Li 2.95, 6 Cd 2.98

12.
The following is a DFT calculation (PBE-GGA) of crystalline LiCd6Cu at its relaxed geometry.

Values from the calculation:
Polymorph energy (0 for the lowest one) = 0 meV/atom
Total magnetization = 0.0 Bohr magnetons per cell
Formation energy from the elements = -0.0485 eV per atom
V = 156.2 Å³/cell

Cell: 4.6902 4.6902 7.8225 Å, 72.80 72.80 90.20°
Closest atoms and distances in Å follow each position.
Fractional coordinates of all 8 atoms:
Li (0.0000, 0.0000, 0.0000)  8 Cd 2.81-2.82
Cd (0.7521, 0.7520, 0.4957)  12 Cd 3.05-3.32
Cd (0.6096, 0.1090, 0.7810)  2 Li 2.81-2.82, 2 Cu 2.81-2.82, 5 Cd 3.05-3.11
Cd (0.1090, 0.6096, 0.7810)  2 Li 2.81-2.82, 2 Cu 2.81-2.82, 5 Cd 3.05-3.11
Cd (0.3904, 0.8910, 0.2190)  2 Li 2.81-2.82, 2 Cu 2.81-2.82, 5 Cd 3.05-3.11
Cd (0.2479, 0.2480, 0.5043)  12 Cd 3.05-3.32
Cd (0.8910, 0.3904, 0.2190)  2 Li 2.81-2.82, 2 Cu 2.81-2.82, 5 Cd 3.05-3.11
Cu (0.5000, 0.5000, 0.0000)  8 Cd 2.81-2.82

13.
The following is a DFT calculation (PBE-GGA) of crystalline LiLuCdCu at its relaxed geometry.

Values from the calculation:
Total magnetization = 0.0 Bohr magnetons per cell
Formation energy from the elements = -0.1720 eV per atom
V = 72.9 Å³/cell

Cell: 4.6899 4.6899 4.6899 Å, 60.00 60.00 60.00°
Closest atoms and distances in Å follow each position.
Fractional coordinates of all 4 atoms:
Lu (0.2500, 0.2500, 0.2500)  4 Cu 2.87, 4 Li 2.87
Li (0.5000, 0.5000, 0.5000)  4 Cd 2.87, 4 Lu 2.87
Cu (0.0000, 0.0000, 0.0000)  4 Cd 2.87, 4 Lu 2.87
Cd (0.7500, 0.7500, 0.7500)  4 Li 2.87, 4 Cu 2.87